[1]
The following is a GGA-PBE calculation of crystalline CsLuTe3Pd at its relaxed geometry, from the Open Quantum Materials Database.

The value obtained for the total magnetization is 0.00 μB/f.u. The value obtained for the volume is 34.69 Å³ per atom. As for the energy above the most stable polymorph in this dataset: 0.00 eV/f.u.

a b c (Å): 4.4074 18.7275 10.0854
angles (deg): 90.00 90.00 90.00
Last column: nearest neighbours and their distance in Å.
Space group Cmcm (No. 63)
Asymmetric unit:
Cs 0.0000 0.2468 0.2500 [4 per cell]  6 Te 3.77-3.85
Lu 0.0000 0.0000 0.0000 [4 per cell]  6 Te 3.03-3.06, 4 Pd 3.35
Te 0.0000 0.0897 0.7500 [4 per cell]  2 Pd 2.73, 2 Lu 3.03
Te 0.0000 0.3950 0.5801 [8 per cell]  1 Pd 2.65
Pd 0.0000 0.4968 0.2500 [4 per cell]  4 Te 2.65-2.73

[2]
The following is a GGA-PBE calculation of crystalline CsLuTe3Pd at its relaxed geometry, from the Open Quantum Materials Database.

The value obtained for the total magnetization is 0.00 μB/f.u. The value obtained for the volume is 35.88 Å³ per atom. As for the energy above the most stable polymorph in this dataset: 0.12 eV/f.u.

a b c (Å): 10.2404 4.3130 10.9915
angles (deg): 90.00 117.53 90.00
Last column: nearest neighbours and their distance in Å.
Space group P2_1/m (No. 11)
Asymmetric unit:
Cs 0.2360 0.2500 0.2570 [2 per cell]  7 Te 3.81-3.94
Lu 0.3152 0.7500 0.8579 [2 per cell]  6 Te 2.99-3.17, 2 Pd 3.34
Te 0.1113 0.2500 0.8651 [2 per cell]  1 Pd 2.69
Te 0.1913 0.7500 0.5354 [2 per cell]  3 Pd 2.65-2.67
Te 0.4843 0.7500 0.1644 [2 per cell]  3 Lu 2.99-3.06
Pd 0.1016 0.2500 0.6159 [2 per cell]  4 Te 2.65-2.69

[3]
The following is a GGA-PBE calculation of crystalline CsLuTe3Pd at its relaxed geometry, from the Open Quantum Materials Database.

The value obtained for the total magnetization is 0.00 μB/f.u. The value obtained for the volume is 35.84 Å³ per atom. As for the energy above the most stable polymorph in this dataset: 0.10 eV/f.u.

a b c (Å): 17.9626 4.3172 11.0903
angles (deg): 90.00 90.00 90.00
Last column: nearest neighbours and their distance in Å.
Space group Pnma (No. 62)
Asymmetric unit:
Cs 0.2378 0.2500 0.0320 [4 per cell]  7 Te 3.82-3.93
Lu 0.0224 0.2500 0.3407 [4 per cell]  6 Te 2.99-3.16, 2 Pd 3.34
Te 0.0756 0.7500 0.8957 [4 per cell]  3 Pd 2.65-2.68
Te 0.0899 0.2500 0.5870 [4 per cell]  3 Lu 2.99-3.06
Te 0.1295 0.7500 0.2585 [4 per cell]  1 Pd 2.70
Pd 0.0096 0.7500 0.1119 [4 per cell]  4 Te 2.65-2.70

Q: What is the volume in the third record?
A: 35.84 Å³ per atom

Q: Which of these has the lowest volume?
A: number 1

Q: What is the formula in the first record?
A: CsLuTe3Pd

Q: Look up the volume of the first one.
A: 34.69 Å³ per atom